# BeZnP2 GGA-PBEsol optimized geometry
# E above lowest polymorph = 0.0000 eV/atom
# calculated formation energy = 0.048 eV per atom
data_BeZnP2
_cell_length_a 4.545
_cell_length_b 4.545
_cell_length_c 12.397
_cell_angle_alpha 90.00
_cell_angle_beta 90.00
_cell_angle_gamma 90.00
_space_group_name_H-M_alt 'I -4 2 d'
_space_group_IT_number 122
_space_group_name_Hall 'I -4 2bw'
loop_
_atom_site_label
_atom_site_type_symbol
_atom_site_fract_x
_atom_site_fract_y
_atom_site_fract_z
Be1 Be 0.000 0.000 0.000
Zn1 Zn 0.000 0.000 0.500
P1 P 0.204 0.250 0.125